## CdHg2Ru (SCAN)

Data for CdHg2Ru at its PBEsol-relaxed geometry.

Size of the total moment, μB/cell: 1.18
ΔE_f, eV/atom: 0.419

abc: 2.9679 4.0985 5.9804
angles: 90.00 90.00 90.00
Atoms (fractional coordinates):
1 Cd 0.0000 0.0000 0.0000
2 Hg 0.5000 0.5000 0.2642
3 Hg 0.5000 0.5000 0.7358
4 Ru 0.0000 0.0000 0.5000